DFT (PBE) results for a relaxed SmDyHoHg crystal.

## Properties
The relative energy among the computed polymorphs is 0 meV per atom. For the formation enthalpy at 0 K, the calculation gives -0.234 eV per atom. The final energy comes out at -3.784 eV per atom. The calculation puts the density of states at the Fermi level at 4.07 states/eV/f.u.

Lattice parameters (Å, degrees): 3.617 3.617 8.911 90.00 90.00 90.00
Fractional coordinates of all 4 atoms:
Sm 0.000 0.000 0.072
Dy 0.500 0.500 0.791
Ho 0.500 0.500 0.352
Hg 0.000 0.000 0.569